# 1
# GGA-PBE K2CePmO4, optimized geometry
# Formation energy from raw total energies   -2.62 eV/atom
# DFT total energy   -53.64 eV per formula unit
data_K2CePmO4
_chemical_formula_sum 'K2 Ce1 Pm1 O4'
_space_group_name_H-M_alt 'P 1 2/m 1'
_space_group_IT_number 10
_cell_length_a 6.2849
_cell_length_b 3.6297
_cell_length_c 6.6330
_cell_angle_alpha 90.00
_cell_angle_beta 108.43
_cell_angle_gamma 90.00
loop_
_space_group_symop_operation_xyz
'x,y,z'
'-x,-y,-z'
'-x,y,-z'
'x,-y,z'
loop_
_atom_site_label
_atom_site_type_symbol
_atom_site_fract_x
_atom_site_fract_y
_atom_site_fract_z
K1 K 0.0000 0.0000 0.0000
K2 K 0.5000 0.5000 0.0000
Ce1 Ce 0.0000 0.5000 0.5000
Pm1 Pm 0.5000 0.0000 0.5000
O1 O 0.2303 0.0000 0.6900
O2 O 0.2702 0.5000 0.3104

---

# 2
# GGA-PBE K3CePm3O8, optimized geometry
# Formation energy from raw total energies   -2.80 eV/atom
# DFT total energy   -105.07 eV per formula unit
data_K3CePm3O8
_chemical_formula_sum 'K9 Ce3 Pm9 O24'
_space_group_name_H-M_alt 'R -3 m'
_space_group_IT_number 166
_space_group_name_Hall '-R 3 2"'
_cell_length_a 7.1913
_cell_length_b 7.1913
_cell_length_c 19.0291
_cell_angle_alpha 90.00
_cell_angle_beta 90.00
_cell_angle_gamma 120.00
loop_
_atom_site_label
_atom_site_type_symbol
_atom_site_fract_x
_atom_site_fract_y
_atom_site_fract_z
K1 K 0.0000 0.5000 0.0000
Ce1 Ce 0.0000 0.0000 0.5000
Pm1 Pm 0.0000 0.5000 0.5000
O1 O 0.0000 0.0000 0.2287
O2 O 0.0157 0.5078 0.2255

---

# 3
# GGA-PBE K3CePm2O6, optimized geometry
# Formation energy from raw total energies   -2.63 eV/atom
# DFT total energy   -80.00 eV per formula unit
data_K3CePm2O6
_chemical_formula_sum 'K6 Ce2 Pm4 O12'
_space_group_name_H-M_alt 'C 1 2/m 1'
_space_group_IT_number 12
_cell_length_a 6.2742
_cell_length_b 10.8673
_cell_length_c 6.6319
_cell_angle_alpha 90.00
_cell_angle_beta 108.39
_cell_angle_gamma 90.00
loop_
_space_group_symop_operation_xyz
'x,y,z'
'-x,-y,-z'
'-x,y,-z'
'x,-y,z'
'x+1/2,y+1/2,z'
'-x+1/2,-y+1/2,-z'
'-x+1/2,y+1/2,-z'
'x+1/2,-y+1/2,z'
loop_
_atom_site_label
_atom_site_type_symbol
_atom_site_fract_x
_atom_site_fract_y
_atom_site_fract_z
K1 K 0.0000 0.0000 0.0000
K2 K 0.0000 0.3334 0.0000
Ce1 Ce 0.0000 0.5000 0.5000
Pm1 Pm 0.0000 0.1667 0.5000
O1 O 0.2300 0.0000 0.6896
O2 O 0.2299 0.3334 0.6899

---

# 4
# GGA-PBE K2CePm2O6, optimized geometry
# Formation energy from raw total energies   -2.84 eV/atom
# DFT total energy   -78.63 eV per formula unit
data_K2CePm2O6
_chemical_formula_sum 'K4 Ce2 Pm4 O12'
_space_group_name_H-M_alt 'C 1 2/m 1'
_space_group_IT_number 12
_cell_length_a 6.2260
_cell_length_b 10.7627
_cell_length_c 6.6796
_cell_angle_alpha 90.00
_cell_angle_beta 107.60
_cell_angle_gamma 90.00
loop_
_space_group_symop_operation_xyz
'x,y,z'
'-x,-y,-z'
'-x,y,-z'
'x,-y,z'
'x+1/2,y+1/2,z'
'-x+1/2,-y+1/2,-z'
'-x+1/2,y+1/2,-z'
'x+1/2,-y+1/2,z'
loop_
_atom_site_label
_atom_site_type_symbol
_atom_site_fract_x
_atom_site_fract_y
_atom_site_fract_z
K1 K 0.0000 0.1671 0.0000
Ce1 Ce 0.0000 0.0000 0.5000
Pm1 Pm 0.0000 0.3344 0.5000
O1 O 0.2143 0.1660 0.6755
O2 O 0.2456 0.5000 0.6747

---

# 5
# GGA-PBE K2CePrO4, optimized geometry
# Formation energy from raw total energies   -2.58 eV/atom
# DFT total energy   -53.40 eV per formula unit
data_K2CePrO4
_chemical_formula_sum 'K2 Ce1 Pr1 O4'
_space_group_name_H-M_alt 'P 1 2/m 1'
_space_group_IT_number 10
_cell_length_a 6.3418
_cell_length_b 3.6636
_cell_length_c 6.6497
_cell_angle_alpha 90.00
_cell_angle_beta 108.59
_cell_angle_gamma 90.00
loop_
_space_group_symop_operation_xyz
'x,y,z'
'-x,-y,-z'
'-x,y,-z'
'x,-y,z'
loop_
_atom_site_label
_atom_site_type_symbol
_atom_site_fract_x
_atom_site_fract_y
_atom_site_fract_z
K1 K 0.0000 0.0000 0.0000
K2 K 0.5000 0.5000 0.0000
Ce1 Ce 0.0000 0.5000 0.5000
Pr1 Pr 0.5000 0.0000 0.5000
O1 O 0.2264 0.0000 0.6907
O2 O 0.2651 0.5000 0.3083

---

# 6
# GGA-PBE K3CePr2O6, optimized geometry
# Formation energy from raw total energies   -2.58 eV/atom
# DFT total energy   -79.52 eV per formula unit
data_K3CePr2O6
_chemical_formula_sum 'K6 Ce2 Pr4 O12'
_space_group_name_H-M_alt 'C 1 2/m 1'
_space_group_IT_number 12
_cell_length_a 6.3506
_cell_length_b 11.0002
_cell_length_c 6.6544
_cell_angle_alpha 90.00
_cell_angle_beta 108.56
_cell_angle_gamma 90.00
loop_
_space_group_symop_operation_xyz
'x,y,z'
'-x,-y,-z'
'-x,y,-z'
'x,-y,z'
'x+1/2,y+1/2,z'
'-x+1/2,-y+1/2,-z'
'-x+1/2,y+1/2,-z'
'x+1/2,-y+1/2,z'
loop_
_atom_site_label
_atom_site_type_symbol
_atom_site_fract_x
_atom_site_fract_y
_atom_site_fract_z
K1 K 0.0000 0.0000 0.0000
K2 K 0.0000 0.3344 0.0000
Ce1 Ce 0.0000 0.5000 0.5000
Pr1 Pr 0.0000 0.1667 0.5000
O1 O 0.2282 0.3358 0.6918
O2 O 0.2354 0.0000 0.6912